{
  "formula": "TaTiHg2",
  "functional": "GGA-PBE",
  "state": "relaxed",
  "spacegroup": "Fm-3m (225)",
  "vol_a3_per_atom": 19.091,
  "e_form_ev_per_atom": 0.363,
  "energy_ev_per_cell": -18.900,
  "de_polymorph_kj_per_mol_atoms": 0.00,
  "total_magnetization_mub_per_fu": 0.8,
  "lattice_angstrom": [[0.0000, 3.3673, 3.3673], [3.3673, 0.0000, 3.3673], [3.3673, 3.3673, 0.0000]],
  "species": ["Ti", "Hg", "Hg", "Ta"],
  "fractional_positions": [[0.0000, 0.0000, 0.0000], [0.2500, 0.2500, 0.2500], [0.7500, 0.7500, 0.7500], [0.5000, 0.5000, 0.5000]]
}